1.
SiPbF2 at its PBEsol-relaxed geometry, computed with SCAN.

a = 6.3236 Å, b = 6.3236 Å, c = 6.3236 Å
α = 90.00°, β = 90.00°, γ = 90.00°
Space group Fm-3m (No. 225)
Symmetry-distinct sites (fractional):
1 Si 0.0000 0.0000 0.0000 [4 per cell]
2 Pb 0.0000 0.0000 0.5000 [4 per cell]
3 F 0.2500 0.2500 0.2500 [8 per cell]

E_form (uncorrected) ... -2.76 eV/f.u.
D(E_F) ... 11.1 states/eV per cell
Calculated total energy ... -382.53 eV/cell

2.
TcSnPb2F at its PBEsol-relaxed geometry, computed with SCAN.

a = 5.7345 Å, b = 5.7345 Å, c = 5.1165 Å
α = 90.00°, β = 90.00°, γ = 90.00°
Space group P4/mmm (No. 123)
Symmetry-distinct sites (fractional):
1 Tc 0.0000 0.0000 0.0000 [1 per cell]
2 Sn 0.0000 0.0000 0.5000 [1 per cell]
3 Pb 0.0000 0.5000 0.5000 [2 per cell]
4 F 0.5000 0.5000 0.0000 [1 per cell]

E_form (uncorrected) ... 3.93 eV/f.u.
D(E_F) ... 3.8 states/eV per cell
Calculated total energy ... -222.15 eV/cell

3.
TePb3F at its PBEsol-relaxed geometry, computed with SCAN.

a = 5.9507 Å, b = 5.9507 Å, c = 5.9507 Å
α = 90.00°, β = 90.00°, γ = 90.00°
Space group Pm-3m (No. 221)
Symmetry-distinct sites (fractional):
1 Te 0.0000 0.0000 0.0000 [1 per cell]
2 Pb 0.0000 0.0000 0.5000 [3 per cell]
3 F 0.5000 0.5000 0.5000 [1 per cell]

E_form (uncorrected) ... 1.32 eV/f.u.
D(E_F) ... 3.3 states/eV per cell
Calculated total energy ... -266.82 eV/cell

4.
TePbF6 at its PBEsol-relaxed geometry, computed with SCAN.

a = 4.6020 Å, b = 12.6976 Å, c = 8.2952 Å
α = 90.00°, β = 101.69°, γ = 90.00°
Space group P2_1/c (No. 14)
Symmetry-distinct sites (fractional):
1 Te 0.0660 0.2258 0.4638 [4 per cell]
2 Pb 0.3539 0.5051 0.6998 [4 per cell]
3 F 0.1052 0.6682 0.8632 [4 per cell]
4 F 0.1875 0.6187 0.1668 [4 per cell]
5 F 0.2165 0.0366 0.9154 [4 per cell]
6 F 0.2613 0.1895 0.1706 [4 per cell]
7 F 0.3054 0.6840 0.5600 [4 per cell]
8 F 0.3334 0.1028 0.5282 [4 per cell]

E_form (uncorrected) ... -18.46 eV/f.u.
D(E_F) ... 0.0 states/eV per cell
Calculated total energy ... -610.92 eV/cell

5.
Te3PbF at its PBEsol-relaxed geometry, computed with SCAN.

a = 5.7525 Å, b = 5.7525 Å, c = 5.7525 Å
α = 90.00°, β = 90.00°, γ = 90.00°
Space group Pm-3m (No. 221)
Symmetry-distinct sites (fractional):
1 Te 0.0000 0.0000 0.5000 [3 per cell]
2 Pb 0.0000 0.0000 0.0000 [1 per cell]
3 F 0.5000 0.5000 0.5000 [1 per cell]

E_form (uncorrected) ... 2.90 eV/f.u.
D(E_F) ... 7.5 states/eV per cell
Calculated total energy ... -188.18 eV/cell

6.
Ti3PbF at its PBEsol-relaxed geometry, computed with SCAN.

a = 4.2580 Å, b = 4.2580 Å, c = 4.2580 Å
α = 90.00°, β = 90.00°, γ = 90.00°
Space group Pm-3m (No. 221)
Symmetry-distinct sites (fractional):
1 Ti 0.0000 0.0000 0.5000 [3 per cell]
2 Pb 0.5000 0.5000 0.5000 [1 per cell]
3 F 0.0000 0.0000 0.0000 [1 per cell]

E_form (uncorrected) ... -3.48 eV/f.u.
D(E_F) ... 4.8 states/eV per cell
Calculated total energy ... -130.89 eV/cell

7.
Ti3Pb5F19 at its PBEsol-relaxed geometry, computed with SCAN.

a = 14.4543 Å, b = 14.4543 Å, c = 7.7232 Å
α = 90.00°, β = 90.00°, γ = 90.00°
Space group I4cm (No. 108)
Symmetry-distinct sites (fractional):
1 Ti 0.0000 0.0000 0.0000 [4 per cell]
2 Ti 0.1616 0.3384 0.2013 [8 per cell]
3 Pb 0.0000 0.5000 0.0486 [4 per cell]
4 Pb 0.0693 0.2276 0.6501 [16 per cell]
5 F 0.0000 0.0000 0.2512 [4 per cell]
6 F 0.0559 0.1228 0.0091 [16 per cell]
7 F 0.0582 0.3126 0.0375 [16 per cell]
8 F 0.0733 0.4267 0.2985 [8 per cell]
9 F 0.1015 0.2424 0.3503 [16 per cell]
10 F 0.1167 0.3833 0.6572 [8 per cell]
11 F 0.2493 0.2507 0.6271 [8 per cell]

E_form (uncorrected) ... -79.41 eV/f.u.
D(E_F) ... 11.2 states/eV per cell
Calculated total energy ... -2294.66 eV/cell

8.
TlPbF3 at its PBEsol-relaxed geometry, computed with SCAN.

a = 4.7503 Å, b = 4.7503 Å, c = 4.7503 Å
α = 90.00°, β = 90.00°, γ = 90.00°
Space group Pm-3m (No. 221)
Symmetry-distinct sites (fractional):
1 Tl 0.0000 0.0000 0.0000 [1 per cell]
2 Pb 0.5000 0.5000 0.5000 [1 per cell]
3 F 0.0000 0.5000 0.5000 [3 per cell]

E_form (uncorrected) ... -10.27 eV/f.u.
D(E_F) ... 0.0 states/eV per cell
Calculated total energy ... -169.03 eV/cell